Compound: AgSb2As
Source: Alexandria via LeMat-Bulk
Functional: PBEsol
Structure: optimized geometry

Geometry as extended XYZ:
```
4
Lattice="-0.6335 -0.5744 5.0249 1.2948 -3.8062 -2.8570 3.2087 3.8689 0.8468" Properties=species:S:1:pos:R:3 pbc="T T T"
Sb 0.9744 -1.3667 2.5519
Sb 2.8955 0.8550 0.4628
As 0.0000 0.0000 0.0000
Ag 1.2876 1.6473 2.9358
```

Summary:
The formation energy from raw total energies is 265 meV/atom. Its total magnetization is 0.00 μB/cell. The total energy comes out at -4.118 eV per atom. The calculation puts the theoretical density at 8.09 Mg/m³. The offset from the most stable computed form comes out at 60 meV per atom.